The following is a PBE calculation of Tb4Er11Tm9 after structural relaxation, from Alexandria.

Calculated values
- M_tot: 0.4 μB/f.u.
- Energy of formation from the pure elements: 0.053 eV/atom

```
data_Tb4Er11Tm9
_symmetry_space_group_name_H-M 'C m m m'
_symmetry_Int_Tables_number 65
_symmetry_space_group_name_Hall '-C 2 2'
_cell_length_a 16.4293
_cell_length_b 24.7664
_cell_length_c 3.6149
_cell_angle_alpha 90.00
_cell_angle_beta 90.00
_cell_angle_gamma 90.00
loop_
_atom_site_label
_atom_site_type_symbol
_atom_site_fract_x
_atom_site_fract_y
_atom_site_fract_z
Tb1 Tb 0.1548 0.1008 0.0000
Er1 Er 0.0000 0.1336 0.5000
Er2 Er 0.0000 0.3406 0.5000
Er3 Er 0.0000 0.5000 0.5000
Er4 Er 0.2093 0.0000 0.5000
Er5 Er 0.2255 0.3188 0.5000
Tm1 Tm 0.0000 0.0000 0.0000
Tm2 Tm 0.1019 0.2344 0.0000
Tm3 Tm 0.1407 0.4275 0.0000
```